# 1
Material: TaFePb2
Method: DFT, PBE
State: relaxed

Properties
The calculation puts the electronic total energy at -23.8 eV per formula unit. The value obtained for the offset from the most stable computed form is 737 meV/atom. The calculation puts the volume at 317 Å³ per cell. For the formation enthalpy at 0 K, the calculation gives 0.99 eV/atom.

Geometry as POSCAR:
```
TaFePb2
1.0
6.821 0.000 0.000
0.000 6.821 0.000
0.000 0.000 6.821
Ta Fe Pb
4 4 8
direct
0.000 0.000 0.000
0.000 0.500 0.500
0.500 0.000 0.500
0.500 0.500 0.000
0.000 0.000 0.500
0.000 0.500 0.000
0.500 0.000 0.000
0.500 0.500 0.500
0.250 0.250 0.250
0.250 0.250 0.750
0.250 0.750 0.250
0.250 0.750 0.750
0.750 0.250 0.250
0.750 0.250 0.750
0.750 0.750 0.250
0.750 0.750 0.750
```



# 2
Material: TaFePb2
Method: DFT, PBE
State: relaxed

Properties
The calculation puts the electronic total energy at -24.7 eV per formula unit. The value obtained for the offset from the most stable computed form is 511 meV/atom. The calculation puts the volume at 166 Å³ per cell. For the formation enthalpy at 0 K, the calculation gives 0.76 eV/atom.

Geometry as POSCAR:
```
TaFePb2
1.0
3.366 0.000 0.000
0.000 5.240 0.000
0.000 0.000 9.422
Ta Fe Pb
2 2 4
direct
0.000 0.000 0.000
0.500 0.500 0.500
0.000 0.000 0.500
0.500 0.500 0.000
0.000 0.500 0.228
0.000 0.500 0.772
0.500 0.000 0.272
0.500 0.000 0.728
```



# 3
Material: TaFe3Pb
Method: DFT, PBE
State: relaxed

Properties
The calculation puts the electronic total energy at -34.5 eV per formula unit. The value obtained for the offset from the most stable computed form is 0 meV/atom. The calculation puts the volume at 100 Å³ per cell. For the formation enthalpy at 0 K, the calculation gives 1.30 eV/atom.

Geometry as POSCAR:
```
TaFe3Pb
1.0
4.634 0.000 0.000
0.000 4.634 0.000
0.000 0.000 4.634
Ta Fe Pb
1 3 1
direct
0.000 0.000 0.000
0.000 0.000 0.500
0.000 0.500 0.000
0.500 0.000 0.000
0.500 0.500 0.500
```



# 4
Material: TaFe2Pb
Method: DFT, PBE
State: relaxed

Properties
The calculation puts the electronic total energy at -30.3 eV per formula unit. The calculation puts the volume at 211 Å³ per cell. For the formation enthalpy at 0 K, the calculation gives 0.55 eV/atom.

Geometry as POSCAR:
```
TaFe2Pb
1.0
3.075 0.000 0.000
-1.537 2.663 0.000
0.000 0.000 25.723
Ta Fe Pb
3 6 3
direct
0.000 0.000 0.000
0.333 0.667 0.667
0.667 0.333 0.333
0.000 0.000 0.259
0.000 0.000 0.526
0.333 0.667 0.193
0.333 0.667 0.925
0.667 0.333 0.592
0.667 0.333 0.859
0.000 0.000 0.769
0.333 0.667 0.435
0.667 0.333 0.102
```



# 5
Material: TaFePb2
Method: DFT, PBE
State: relaxed

Properties
The calculation puts the electronic total energy at -24.7 eV per formula unit. The value obtained for the offset from the most stable computed form is 501 meV/atom. The calculation puts the volume at 170 Å³ per cell. For the formation enthalpy at 0 K, the calculation gives 0.75 eV/atom.

Geometry as POSCAR:
```
TaFePb2
1.0
6.331 0.000 0.000
0.000 9.091 0.000
-1.044 0.000 2.947
Ta Fe Pb
2 2 4
direct
0.000 0.000 0.000
0.500 0.500 0.000
0.000 0.500 0.000
0.500 0.000 0.000
0.250 0.250 0.500
0.250 0.750 0.500
0.750 0.250 0.500
0.750 0.750 0.500
```



# 6
Material: Ta2FePb
Method: DFT, PBE
State: relaxed

Properties
The calculation puts the electronic total energy at -33.5 eV per formula unit. The calculation puts the volume at 289 Å³ per cell. For the formation enthalpy at 0 K, the calculation gives 0.60 eV/atom.

Geometry as POSCAR:
```
Ta2FePb
1.0
6.610 0.000 0.000
0.000 6.610 0.000
0.000 0.000 6.610
Ta Fe Pb
8 4 4
direct
0.000 0.000 0.000
0.000 0.500 0.500
0.250 0.250 0.250
0.250 0.750 0.750
0.500 0.000 0.500
0.500 0.500 0.000
0.750 0.250 0.750
0.750 0.750 0.250
0.250 0.250 0.750
0.250 0.750 0.250
0.750 0.250 0.250
0.750 0.750 0.750
0.000 0.000 0.500
0.000 0.500 0.000
0.500 0.000 0.000
0.500 0.500 0.500
```



# 7
Material: TaFePb2
Method: DFT, PBE
State: relaxed

Properties
The calculation puts the electronic total energy at -24.9 eV per formula unit. The value obtained for the offset from the most stable computed form is 459 meV/atom. The calculation puts the volume at 168 Å³ per cell. For the formation enthalpy at 0 K, the calculation gives 0.71 eV/atom.

Geometry as POSCAR:
```
TaFePb2
1.0
3.625 0.000 0.000
0.000 5.155 0.000
0.000 0.000 8.997
Ta Fe Pb
2 2 4
direct
0.000 0.000 0.000
0.500 0.500 0.000
0.000 0.000 0.500
0.500 0.500 0.500
0.000 0.500 0.264
0.000 0.500 0.736
0.500 0.000 0.264
0.500 0.000 0.736
```



# 8
Material: Ta2FePb
Method: DFT, PBE
State: relaxed

Properties
The calculation puts the electronic total energy at -33.9 eV per formula unit. The calculation puts the volume at 145 Å³ per cell. For the formation enthalpy at 0 K, the calculation gives 0.49 eV/atom.

Geometry as POSCAR:
```
Ta2FePb
1.0
5.755 0.000 0.000
0.000 7.856 0.000
0.000 0.000 3.199
Ta Fe Pb
4 2 2
direct
0.250 0.250 0.000
0.250 0.750 0.000
0.750 0.250 0.000
0.750 0.750 0.000
0.000 0.000 0.500
0.500 0.500 0.500
0.000 0.500 0.500
0.500 0.000 0.500
```